Entry from Alexandria via LeMat-Bulk: an optimized crystal structure of Cs2RbCl4 (GGA-PBE).

Properties
Energy relative to the elements, uncorrected in eV per formula unit: -10.383
Magnetization in μB per formula unit: 1.186

a = 9.8675 Å, b = 9.8675 Å, c = 9.8675 Å
α = 143.73°, β = 143.73°, γ = 52.24°
Closest atoms and distances in Å follow each position.
Atoms (fractional coordinates):
Cs (0.1254, 0.1254, 0.0000)  1 Cl 3.38
Cs (0.8746, 0.8746, 0.0000)  1 Cl 3.38
Rb (0.5000, 0.5000, 0.0000)  6 Cl 3.07-3.26
Cl (0.0000, 0.5000, 0.5000)  2 Rb 3.07
Cl (0.3161, 0.3161, 0.0000)  1 Rb 3.26, 1 Cs 3.38
Cl (0.5000, 0.0000, 0.5000)  2 Rb 3.07
Cl (0.6839, 0.6839, 0.0000)  1 Rb 3.26, 1 Cs 3.38